Here is a relaxed Li3CaGe crystal from Alexandria. Energies are from GGA-PBEsol.

Values from the calculation:
As for the crystal system: cubic. The density is 2.0 g cm⁻³. The total energy comes out at -13.78 eV per cell. As for the total magnetization: 0.0 μB/f.u. The formation energy from the elements comes out at -0.16 eV per atom.

Cell lengths 4.803, 4.803, 4.803 Å; angles 90.00, 90.00, 90.00 degrees
Positions (direct):
Li1 0.000 0.000 0.500
Li2 0.000 0.500 0.000
Li3 0.500 0.000 0.000
Ca1 0.500 0.500 0.500
Ge1 0.000 0.000 0.000